Record 1
DFT (SCAN) results for a crystal of Sr2NiPb relaxed with PBEsol.

Uncorrected energy, eV/atom: -34.314
Space group: P4/mmm, No. 123
Size of the total moment, μB per formula unit: 0.001
Energy of formation, eV/atom: -0.1874

a b c (Å): 3.575 3.575 8.585
angles (deg): 90.00 90.00 90.00
Fractional positions:
Ni: 0.500 0.500 0.000
Pb: 0.500 0.500 0.500
Sr: 0.000 0.000 0.790
Sr: 0.000 0.000 0.210



Record 2
DFT (SCAN) results for a crystal of YBe2 relaxed with PBEsol.

Uncorrected energy, eV/atom: -12.142
Space group: C2/m, No. 12
Size of the total moment, μB per formula unit: 0.000
Energy of formation, eV/atom: 0.0414

a b c (Å): 3.694 5.372 5.610
angles (deg): 112.83 109.22 90.00
Fractional positions:
Y: 0.823 0.315 0.647
Y: 0.177 0.685 0.353
Be: 0.902 0.879 0.803
Be: 0.098 0.121 0.197
Be: 0.510 0.199 0.020
Be: 0.490 0.801 0.980



Record 3
DFT (SCAN) results for a crystal of LaTe2MoN relaxed with PBEsol.

Uncorrected energy, eV/atom: -32.948
Formation energy (no corrections), meV/atom: -591
Space group: P4/mmm, No. 123
Size of the total moment, μB per formula unit: 0.575

a b c (Å): 3.840 5.465 5.465
angles (deg): 90.00 90.00 90.00
Site moments in Bohr magnetons follow the coordinates.
Fractional positions:
N: 0.500 0.000 0.000  -0.10
Mo: 0.000 0.000 0.000  0.77
Te: 0.000 0.000 0.500  -0.02
Te: 0.000 0.500 0.000  -0.02
La: 0.500 0.500 0.500  -0.03



Record 4
DFT (SCAN) results for a crystal of Zn2CrTe relaxed with PBEsol.

Uncorrected energy, eV/atom: -20.385
Formation energy (no corrections), meV/atom: 282
Space group: F-43m, No. 216
Size of the total moment, μB per formula unit: 3.971

a b c (Å): 4.673 4.673 4.673
angles (deg): 60.00 60.00 60.00
Site moments in Bohr magnetons follow the coordinates.
Fractional positions:
Cr: 0.500 0.500 0.500  3.81
Te: 0.250 0.250 0.250  -0.11
Zn: 0.000 0.000 0.000  -0.06
Zn: 0.750 0.750 0.750  -0.03



Record 5
DFT (SCAN) results for a crystal of LiCo2Ir relaxed with PBEsol.

Uncorrected energy, eV/atom: -26.829
Space group: Cmmm, No. 65
Size of the total moment, μB per formula unit: 4.426
Energy of formation, eV/atom: 0.1957

a b c (Å): 2.553 2.553 8.684
angles (deg): 90.00 90.00 117.21
Site moments in Bohr magnetons follow the coordinates.
Fractional positions:
Co: 0.000 0.000 0.251  1.98
Co: 0.000 0.000 0.749  1.98
Ir: 0.500 0.500 0.500  0.62
Li: 0.500 0.500 0.000  -0.03



Record 6
DFT (SCAN) results for a crystal of AlPd2 relaxed with PBEsol.

Uncorrected energy, eV/atom: -25.357
Space group: Pnma, No. 62
Size of the total moment, μB per formula unit: 0.000
Energy of formation, eV/atom: -0.9234

a b c (Å): 4.051 5.374 7.775
angles (deg): 90.00 90.00 90.00
Fractional positions:
Al: 0.250 0.693 0.604
Al: 0.750 0.307 0.396
Al: 0.250 0.193 0.896
Al: 0.750 0.807 0.104
Pd: 0.250 0.043 0.214
Pd: 0.750 0.957 0.786
Pd: 0.250 0.543 0.286
Pd: 0.750 0.457 0.714
Pd: 0.250 0.166 0.567
Pd: 0.750 0.834 0.433
Pd: 0.250 0.666 0.933
Pd: 0.750 0.334 0.067



Record 7
DFT (SCAN) results for a crystal of CaHg2Pd2 relaxed with PBEsol.

Uncorrected energy, eV/atom: -42.771
Space group: P4/mbm, No. 127
Size of the total moment, μB per formula unit: 0.000
Energy of formation, eV/atom: -0.4625

a b c (Å): 3.521 7.425 7.425
angles (deg): 90.00 90.00 90.00
Fractional positions:
Ca: 0.000 0.000 0.000
Ca: 0.000 0.500 0.500
Hg: 0.500 0.162 0.662
Hg: 0.500 0.662 0.838
Hg: 0.500 0.838 0.338
Hg: 0.500 0.338 0.162
Pd: 0.000 0.366 0.866
Pd: 0.000 0.866 0.634
Pd: 0.000 0.634 0.134
Pd: 0.000 0.134 0.366



Record 8
DFT (SCAN) results for a crystal of TlCoTc relaxed with PBEsol.

Uncorrected energy, eV/atom: -40.842
Space group: P3m1, No. 156
Size of the total moment, μB per formula unit: 1.436
Energy of formation, eV/atom: 0.7318

a b c (Å): 2.866 2.866 6.529
angles (deg): 90.00 90.00 120.00
Site moments in Bohr magnetons follow the coordinates.
Fractional positions:
Co: 0.000 0.000 0.978  1.53
Tc: 0.333 0.667 0.699  -0.04
Tl: 0.667 0.333 0.323  -0.01



Record 9
DFT (SCAN) results for a crystal of SmOF relaxed with PBEsol.

Uncorrected energy, eV/atom: -22.191
Formation energy (no corrections), meV/atom: -4120
Space group: F-43m, No. 216
Size of the total moment, μB per formula unit: 0.051

a b c (Å): 3.882 3.882 3.882
angles (deg): 60.00 60.00 60.00
Fractional positions:
Sm: 0.000 0.000 0.000
O: 0.750 0.750 0.750
F: 0.250 0.250 0.250



Record 10
DFT (SCAN) results for a crystal of CaZn2Cu relaxed with PBEsol.

Uncorrected energy, eV/atom: -13.213
Space group: R-3m, No. 166
Size of the total moment, μB per formula unit: 0.000
Energy of formation, eV/atom: -0.2398

a b c (Å): 4.192 4.192 5.574
angles (deg): 67.91 67.91 60.00
Fractional positions:
Zn: 0.199 0.199 0.404
Zn: 0.801 0.801 0.596
Ca: 0.000 0.000 0.000
Cu: 0.500 0.500 0.500



Record 11
DFT (SCAN) results for a crystal of K2SrV3O9 relaxed with PBEsol.

Uncorrected energy, eV/atom: -12.587
Formation energy (no corrections), meV/atom: -2755
Space group: Pnma, No. 62
Size of the total moment, μB per formula unit: 1.000

a b c (Å): 5.378 10.152 16.034
angles (deg): 90.00 90.00 90.00
Site moments in Bohr magnetons follow the coordinates.
Fractional positions:
K: 0.750 0.973 0.432  0.00
K: 0.250 0.027 0.568  0.00
K: 0.750 0.473 0.068  0.00
K: 0.250 0.527 0.932  0.00
K: 0.750 0.028 0.711  0.00
K: 0.750 0.528 0.789  0.00
K: 0.250 0.472 0.211  0.00
K: 0.250 0.972 0.289  0.00
Sr: 0.750 0.030 0.115  0.00
Sr: 0.250 0.470 0.615  0.00
Sr: 0.250 0.970 0.885  0.00
Sr: 0.750 0.530 0.385  0.00
V: 0.250 0.294 0.405  0.92
V: 0.750 0.206 0.905  0.92
V: 0.250 0.794 0.095  0.92
V: 0.250 0.688 0.457  0.07
V: 0.250 0.254 0.770  0.06
V: 0.250 0.188 0.043  0.07
V: 0.750 0.812 0.957  0.07
V: 0.750 0.746 0.230  0.06
V: 0.750 0.706 0.595  0.92
V: 0.750 0.312 0.543  0.07
V: 0.250 0.754 0.730  0.06
V: 0.750 0.246 0.270  0.06
O: 0.004 0.324 0.320  0.00
O: 0.504 0.676 0.680  0.00
O: 0.490 0.360 0.484  -0.01
O: 0.250 0.419 0.780  0.00
O: 0.504 0.176 0.820  0.00
O: 0.250 0.090 0.129  0.00
O: 0.750 0.772 0.333  0.01
O: 0.496 0.824 0.180  0.00
O: 0.750 0.364 0.918  -0.09
O: 0.750 0.864 0.582  -0.09
O: 0.250 0.136 0.418  -0.09
O: 0.750 0.081 0.280  0.00
O: 0.750 0.650 0.939  0.00
O: 0.510 0.140 0.984  -0.01
O: 0.004 0.824 0.180  0.00
O: 0.250 0.728 0.833  0.01
O: 0.250 0.636 0.082  -0.09
O: 0.250 0.919 0.720  0.00
O: 0.750 0.410 0.629  0.00
O: 0.996 0.676 0.680  0.00
O: 0.750 0.272 0.167  0.01
O: 0.750 0.150 0.561  0.00
O: 0.750 0.910 0.871  0.00
O: 0.250 0.228 0.667  0.01
O: 0.010 0.360 0.484  -0.01
O: 0.496 0.324 0.320  0.00
O: 0.990 0.640 0.516  -0.01
O: 0.010 0.860 0.016  -0.01
O: 0.750 0.581 0.220  0.00
O: 0.996 0.176 0.820  0.00
O: 0.250 0.850 0.439  0.00
O: 0.510 0.640 0.516  -0.01
O: 0.490 0.860 0.016  -0.01
O: 0.250 0.350 0.061  0.00
O: 0.250 0.590 0.371  0.00
O: 0.990 0.140 0.984  -0.01



Record 12
DFT (SCAN) results for a crystal of NbZnAs2Se relaxed with PBEsol.

Uncorrected energy, eV/atom: -20.623
Formation energy (no corrections), meV/atom: 797
Space group: P4/mmm, No. 123
Size of the total moment, μB per formula unit: 2.039

a b c (Å): 4.636 4.636 4.819
angles (deg): 90.00 90.00 90.00
Site moments in Bohr magnetons follow the coordinates.
Fractional positions:
Zn: 0.000 0.000 0.000  0.02
Nb: 0.500 0.500 0.500  2.11
As: 0.000 0.500 0.000  -0.16
As: 0.500 0.000 0.000  -0.16
Se: 0.000 0.000 0.500  -0.12



Record 13
DFT (SCAN) results for a crystal of SiNiPt2 relaxed with PBEsol.

Uncorrected energy, eV/atom: -41.827
Formation energy (no corrections), meV/atom: -183
Space group: F-43m, No. 216
Size of the total moment, μB per formula unit: 0.000

a b c (Å): 4.238 4.238 4.238
angles (deg): 60.00 60.00 60.00
Fractional positions:
Ni: 0.500 0.500 0.500
Pt: 0.000 0.000 0.000
Pt: 0.750 0.750 0.750
Si: 0.250 0.250 0.250